# 1
The following is a DFT calculation (GGA-PBE) of crystalline Ca3HfSb at its relaxed geometry.

```
Ca3HfSb
1.0
5.858 0.000 0.000
0.000 5.858 0.000
0.000 0.000 5.858
Ca Hf Sb
3 1 1
Direct
0.000 0.000 0.500
0.000 0.500 0.000
0.500 0.000 0.000
0.500 0.500 0.500
0.000 0.000 0.000
```

Crystal system: cubic
SG: Pm-3m (221)

# 2
The following is a DFT calculation (GGA-PBE) of crystalline Ca3HfSb at its relaxed geometry.

```
Ca3HfSb
1.0
5.688 0.000 0.000
0.000 5.688 0.000
0.000 0.000 5.688
Ca Hf Sb
3 1 1
Direct
0.000 0.000 0.500
0.000 0.500 0.000
0.500 0.000 0.000
0.000 0.000 0.000
0.500 0.500 0.500
```

Crystal system: cubic
SG: Pm-3m (221)

# 3
The following is a DFT calculation (GGA-PBE) of crystalline Ca2HfSb at its relaxed geometry.

```
Ca2HfSb
1.0
-4.478 4.478 3.049
4.478 -4.478 3.049
4.478 4.478 -3.049
Ca Hf Sb
4 2 2
Direct
0.091 0.125 0.466
0.375 0.909 0.034
0.659 0.625 0.534
0.875 0.341 0.966
0.250 0.750 0.500
0.500 0.500 0.000
0.000 0.000 0.000
0.750 0.250 0.500
```

Crystal system: tetragonal
SG: I-42d (122)

# 4
The following is a DFT calculation (GGA-PBE) of crystalline CaHfSc2Sb at its relaxed geometry.

```
CaHfSc2Sb
1.0
4.846 0.000 0.000
0.000 4.846 0.000
0.000 0.000 5.453
Ca Hf Sc Sb
1 1 2 1
Direct
0.000 0.000 0.000
0.500 0.500 0.500
0.000 0.500 0.000
0.500 0.000 0.000
0.000 0.000 0.500
```

Crystal system: tetragonal
SG: P4/mmm (123)

no.,theoretical density (g/cm³),formation energy from raw total energies (eV/f.u.)
1,3.47,2.11
2,3.79,4.21
3,5.16,0.87
4,5.58,5.31